No. 1
Cs2CaAs2 | PBE-GGA | relaxed

The structure in extended XYZ format:
```
10
Lattice="-1.724 3.458 6.704 -7.542 -0.909 -1.470 0.103 -5.396 2.810" Properties=species:S:1:pos:R:3 pbc="T T T"
Cs -1.791 -1.705 3.379
Cs -3.882 -0.125 6.491
Cs -7.372 -1.143 4.664
Cs -5.281 -2.723 1.552
As -1.943 2.026 3.963
As -3.092 0.055 0.219
As -7.322 0.522 1.271
As -6.174 2.493 5.014
Ca 0.000 0.000 0.000
Ca -4.633 1.274 2.617
```

## Properties
uncorrected energy = -30.411 eV per cell
volume = 182.1 Å³/f.u.
energy of formation = -440 meV/atom
size of the total moment = 0.00 μB/atom
D(E_F) = 2.9 states/eV/cell
space group = P4/mbm

***

No. 2
CsCaAs2 | PBE-GGA | relaxed

The structure in extended XYZ format:
```
4
Lattice="0.000 3.928 3.928 3.928 0.000 3.928 3.928 3.928 0.000" Properties=species:S:1:pos:R:3 pbc="T T T"
Cs 3.928 3.928 3.928
As 5.892 5.892 5.892
As 1.964 1.964 1.964
Ca 0.000 0.000 0.000
```

## Properties
uncorrected energy = -12.631 eV per cell
volume = 121.2 Å³/f.u.
energy of formation = -119 meV/atom
size of the total moment = 0.00 μB/atom
D(E_F) = 3.6 states/eV/cell
space group = Fm-3m

***

No. 3
CsCa2As2 | PBE-GGA | relaxed

The structure in extended XYZ format:
```
10
Lattice="8.952 0.000 0.000 0.000 8.952 0.000 0.000 0.000 3.523" Properties=species:S:1:pos:R:3 pbc="T T T"
Ca 7.770 5.658 0.000
Ca 5.658 1.182 0.000
Ca 3.294 7.770 0.000
Ca 1.182 3.294 0.000
Cs 4.476 4.476 0.000
Cs 0.000 0.000 0.000
As 5.915 7.512 1.762
As 1.439 5.915 1.762
As 3.036 1.439 1.762
As 7.512 3.036 1.762
```

## Properties
uncorrected energy = -36.096 eV per cell
excess energy over the best structure of this formula in the dataset = 0.0 meV per atom
volume = 141.2 Å³/f.u.
energy of formation = -778 meV/atom
size of the total moment = 0.00 μB/atom
D(E_F) = 1.4 states/eV/cell
space group = P4/mbm

***

No. 4
CsCa2As2 | PBE-GGA | relaxed

The structure in extended XYZ format:
```
5
Lattice="5.669 0.000 0.000 0.000 5.669 0.000 2.835 2.835 6.358" Properties=species:S:1:pos:R:3 pbc="T T T"
As 2.835 5.669 3.179
As 5.669 2.835 3.179
Ca 2.835 2.835 2.634
Ca 5.669 5.669 3.724
Cs 0.000 0.000 0.000
```

## Properties
uncorrected energy = -17.410 eV per cell
excess energy over the best structure of this formula in the dataset = 127.5 meV per atom
volume = 204.4 Å³/f.u.
energy of formation = -651 meV/atom
size of the total moment = 0.00 μB/atom
D(E_F) = 2.6 states/eV/cell
space group = I4/mmm

***

No. 5
Cs2Ca2As | PBE-GGA | relaxed

The structure in extended XYZ format:
```
5
Lattice="-2.198 -1.068 3.870 0.949 -4.425 -0.681 8.621 -1.619 7.158" Properties=species:S:1:pos:R:3 pbc="T T T"
Ca 6.682 -4.526 7.961
Ca 0.690 -2.586 2.385
Cs 2.899 -2.717 6.311
Cs 4.473 -4.395 4.035
As 0.000 0.000 0.000
```

## Properties
uncorrected energy = -8.500 eV per cell
excess energy over the best structure of this formula in the dataset = 596.4 meV per atom
volume = 227.2 Å³/f.u.
energy of formation = 372 meV/atom
size of the total moment = 0.21 μB/atom
D(E_F) = 3.4 states/eV/cell
space group = I4/mmm

***

No. 6
Cs2CaAs | PBE-GGA | relaxed

The structure in extended XYZ format:
```
8
Lattice="-5.332 -10.390 -7.893 11.907 -7.361 1.646 2.226 -10.079 -0.822" Properties=species:S:1:pos:R:3 pbc="T T T"
Ca 3.288 -8.875 -3.124
Ca 8.711 -13.157 -1.150
Cs -2.208 -11.727 -6.295
Cs -2.429 -17.001 -7.445
Cs 2.080 -12.945 -3.243
Cs 2.921 -17.016 -6.694
As 0.000 0.000 0.000
As 0.091 -14.672 -5.919
```

## Properties
uncorrected energy = -19.112 eV per cell
excess energy over the best structure of this formula in the dataset = 0.0 meV per atom
volume = 278.7 Å³/f.u.
energy of formation = -299 meV/atom
size of the total moment = 0.00 μB/atom
D(E_F) = 4.9 states/eV/cell
space group = I-42d

***

No. 7
CsCa2As2 | PBE-GGA | relaxed

The structure in extended XYZ format:
```
5
Lattice="1.923 4.699 5.140 2.839 6.337 -1.995 -5.757 -4.035 -1.665" Properties=species:S:1:pos:R:3 pbc="T T T"
Cs 0.000 0.000 0.000
As 3.007 6.971 1.986
As 1.754 4.066 1.159
Ca -0.269 3.910 -1.044
Ca -0.727 3.091 2.524
```

## Properties
uncorrected energy = -17.835 eV per cell
excess energy over the best structure of this formula in the dataset = 42.5 meV per atom
volume = 169.1 Å³/f.u.
energy of formation = -736 meV/atom
size of the total moment = 0.11 μB/atom
D(E_F) = 3.1 states/eV/cell
space group = I4/mmm

***

No. 8
CsCa2As | PBE-GGA | relaxed

The structure in extended XYZ format:
```
8
Lattice="-6.885 -5.100 2.785 4.761 -2.475 7.237 -3.423 1.175 8.262" Properties=species:S:1:pos:R:3 pbc="T T T"
Cs 0.000 0.000 0.000
Cs -5.685 -3.857 8.029
Ca -0.418 -3.134 7.615
Ca -2.204 -2.563 11.718
Ca -5.586 -5.144 13.202
Ca -2.886 -1.961 4.032
As -1.062 -3.788 5.011
As 0.138 -2.544 10.255
```

## Properties
uncorrected energy = -21.531 eV per cell
volume = 259.1 Å³/f.u.
energy of formation = -315 meV/atom
size of the total moment = 0.00 μB/atom
D(E_F) = 5.6 states/eV/cell
space group = I-42d